Record 1
{"formula": "AcNd2", "functional": "GGA-PBE", "state": "optimized geometry", "e_above_lowest_polymorph_mev_per_atom": 4, "formation_enthalpy_0k_mev_per_atom": 34.3, "n_ef_per_ev_fu": 5.4, "lattice": [[12.023, 0.000, 0.000], [0.000, 5.376, 0.000], [-2.427, 0.000, 7.133]], "species": ["Ac", "Ac", "Ac", "Ac", "Nd", "Nd", "Nd", "Nd", "Nd", "Nd", "Nd", "Nd"], "fractional_positions": [[0.167, 0.000, 0.088], [0.333, 0.500, 0.912], [0.667, 0.500, 0.088], [0.833, 0.000, 0.912], [0.003, 0.500, 0.258], [0.163, 0.000, 0.581], [0.337, 0.500, 0.419], [0.497, 0.000, 0.742], [0.503, 0.000, 0.258], [0.663, 0.500, 0.581], [0.837, 0.000, 0.419], [0.997, 0.500, 0.742]]}

***

Record 2
{"formula": "InTc2Ge2", "functional": "GGA-PBE", "state": "optimized geometry", "e_above_lowest_polymorph_mev_per_atom": 0, "formation_enthalpy_0k_mev_per_atom": 13.7, "n_ef_per_ev_fu": 2.5, "lattice": [[7.190, 0.000, 0.000], [0.000, 7.190, 0.000], [0.000, 0.000, 3.188]], "species": ["In", "In", "Tc", "Tc", "Tc", "Tc", "Ge", "Ge", "Ge", "Ge"], "fractional_positions": [[0.000, 0.000, 0.000], [0.500, 0.500, 0.000], [0.147, 0.353, 0.000], [0.353, 0.853, 0.000], [0.647, 0.147, 0.000], [0.853, 0.647, 0.000], [0.147, 0.647, 0.500], [0.353, 0.147, 0.500], [0.647, 0.853, 0.500], [0.853, 0.353, 0.500]]}

***

Record 3
{"formula": "Dy12Ni3H5", "functional": "GGA-PBE", "state": "optimized geometry", "dft_energy_ev_per_atom": -4.73, "n_ef_per_ev_fu": 21.7, "lattice": [[-7.466, 7.466, 7.466], [7.466, -7.466, 7.466], [7.466, 7.466, -7.466]], "species": ["Dy", "Dy", "Dy", "Dy", "Dy", "Dy", "Dy", "Dy", "Dy", "Dy", "Dy", "Dy", "Dy", "Dy", "Dy", "Dy", "Dy", "Dy", "Dy", "Dy", "Dy", "Dy", "Dy", "Dy", "Dy", "Dy", "Dy", "Dy", "Dy", "Dy", "Dy", "Dy", "Dy", "Dy", "Dy", "Dy", "Dy", "Dy", "Dy", "Dy", "Dy", "Dy", "Dy", "Dy", "Dy", "Dy", "Dy", "Dy", "Ni", "Ni", "Ni", "Ni", "Ni", "Ni", "Ni", "Ni", "Ni", "Ni", "Ni", "Ni", "H", "H", "H", "H", "H", "H", "H", "H", "H", "H", "H", "H", "H", "H", "H", "H", "H", "H", "H", "H"], "fractional_positions": [[0.026, 0.216, 0.119], [0.026, 0.310, 0.907], [0.093, 0.619, 0.403], [0.093, 0.974, 0.690], [0.097, 0.716, 0.690], [0.097, 0.881, 0.407], [0.119, 0.026, 0.216], [0.119, 0.593, 0.903], [0.190, 0.216, 0.597], [0.190, 0.474, 0.593], [0.216, 0.119, 0.026], [0.216, 0.597, 0.190], [0.284, 0.310, 0.903], [0.284, 0.474, 0.381], [0.310, 0.903, 0.284], [0.310, 0.907, 0.026], [0.381, 0.284, 0.474], [0.381, 0.597, 0.907], [0.403, 0.093, 0.619], [0.403, 0.810, 0.784], [0.407, 0.097, 0.881], [0.407, 0.810, 0.526], [0.474, 0.381, 0.284], [0.474, 0.593, 0.190], [0.526, 0.407, 0.810], [0.526, 0.619, 0.716], [0.593, 0.190, 0.474], [0.593, 0.903, 0.119], [0.597, 0.190, 0.216], [0.597, 0.907, 0.381], [0.619, 0.403, 0.093], [0.619, 0.716, 0.526], [0.690, 0.093, 0.974], [0.690, 0.097, 0.716], [0.716, 0.526, 0.619], [0.716, 0.690, 0.097], [0.784, 0.403, 0.810], [0.784, 0.881, 0.974], [0.810, 0.526, 0.407], [0.810, 0.784, 0.403], [0.881, 0.407, 0.097], [0.881, 0.974, 0.784], [0.903, 0.119, 0.593], [0.903, 0.284, 0.310], [0.907, 0.026, 0.310], [0.907, 0.381, 0.597], [0.974, 0.690, 0.093], [0.974, 0.784, 0.881], [0.125, 0.250, 0.375], [0.125, 0.375, 0.750], [0.250, 0.375, 0.125], [0.250, 0.875, 0.625], [0.375, 0.125, 0.250], [0.375, 0.750, 0.125], [0.625, 0.250, 0.875], [0.625, 0.875, 0.750], [0.750, 0.125, 0.375], [0.750, 0.625, 0.875], [0.875, 0.625, 0.250], [0.875, 0.750, 0.625], [0.000, 0.000, 0.000], [0.000, 0.000, 0.500], [0.000, 0.500, 0.000], [0.000, 0.500, 0.500], [0.125, 0.750, 0.875], [0.125, 0.875, 0.250], [0.250, 0.125, 0.875], [0.250, 0.625, 0.375], [0.375, 0.250, 0.625], [0.375, 0.625, 0.750], [0.500, 0.000, 0.000], [0.500, 0.000, 0.500], [0.500, 0.500, 0.000], [0.500, 0.500, 0.500], [0.625, 0.375, 0.250], [0.625, 0.750, 0.375], [0.750, 0.375, 0.625], [0.750, 0.875, 0.125], [0.875, 0.125, 0.750], [0.875, 0.250, 0.125]]}

***

Record 4
{"formula": "Pu2MgPb2", "functional": "GGA-PBE", "state": "optimized geometry", "formation_enthalpy_0k_mev_per_atom": 85.0, "n_ef_per_ev_fu": 18.5, "lattice": [[8.471, 0.000, 0.000], [0.000, 8.471, 0.000], [0.000, 0.000, 4.048]], "species": ["Pu", "Pu", "Pu", "Pu", "Mg", "Mg", "Pb", "Pb", "Pb", "Pb"], "fractional_positions": [[0.115, 0.385, 0.000], [0.385, 0.885, 0.000], [0.615, 0.115, 0.000], [0.885, 0.615, 0.000], [0.000, 0.000, 0.000], [0.500, 0.500, 0.000], [0.186, 0.686, 0.500], [0.314, 0.186, 0.500], [0.686, 0.814, 0.500], [0.814, 0.314, 0.500]]}